! Y2GeIr | Alexandria | GGA-PBE | relaxed; values from VASP
&SYSTEM
  ibrav = 0, nat = 8, ntyp = 3
/
ATOMIC_SPECIES
Y 88.91 Y.upf
Ge 72.64 Ge.upf
Ir 192.22 Ir.upf
CELL_PARAMETERS angstrom
-0.6418 1.0720 7.5212
2.7649 -6.9974 1.2332
4.1511 -1.7265 4.4646
ATOMIC_POSITIONS angstrom
Y 0.9676 -0.6118 6.1433
Y 2.7003 -4.6956 2.6549
Y 3.8462 -3.3567 6.6031
Y 5.0343 -6.6399 11.0368
Ge 1.0615 -2.9627 4.3772
Ge 3.9887 -5.8433 5.0375
Ir 0.0000 0.0000 0.0000
Ir 2.2854 -1.8086 8.1815
! ρ, Mg/m³: 7.6
! Space group: I-42d

! Tb6HgIr2 | Alexandria | GGA-PBE | relaxed; values from VASP
&SYSTEM
  ibrav = 0, nat = 9, ntyp = 3
/
ATOMIC_SPECIES
Tb 158.93 Tb.upf
Hg 200.59 Hg.upf
Ir 192.22 Ir.upf
CELL_PARAMETERS angstrom
4.9803 0.0000 0.0000
-2.4901 5.0200 1.0502
0.0000 -0.0525 9.2637
ATOMIC_POSITIONS angstrom
Tb 2.4901 4.6064 8.7907
Tb 2.4901 2.1816 1.9601
Tb 0.0000 2.7859 8.3538
Tb 2.4901 1.5413 5.9759
Tb 0.0000 3.4262 4.3380
Tb 0.0000 0.3610 1.5232
Hg 0.0000 -0.0263 4.6319
Ir 2.4901 1.1907 8.6059
Ir 0.0000 3.7768 1.7080
! Offset from the most stable computed form, kJ/mol of formula units: 91
! ρ, Mg/m³: 11.0
! Space group: C2/m

Number 1: energy relative to the elements -0.311 eV per atom. Number 2: energy relative to the elements -0.470 eV per atom.